Record 1
AcErMgAu: relaxed, PBE-GGA.

Values from the calculation:
DFT formation energy	-0.33	eV/atom
SG	F-43m, No. 216

Geometry as POSCAR:
```
AcErMgAu
1.0
0.0000 3.8372 3.8372
3.8372 0.0000 3.8372
3.8372 3.8372 0.0000
Ac Er Mg Au
1 1 1 1
Direct
0.0000 0.0000 0.0000
0.5000 0.5000 0.5000
0.2500 0.2500 0.2500
0.7500 0.7500 0.7500
```

---

Record 2
ScReAg2: relaxed, PBE-GGA.

Values from the calculation:
DFT formation energy	0.49	eV/atom
SG	F-43m, No. 216

Geometry as POSCAR:
```
ScReAg2
1.0
0.0000 3.2954 3.2954
3.2954 0.0000 3.2954
3.2954 3.2954 0.0000
Sc Re Ag
1 1 2
Direct
0.0000 0.0000 0.0000
0.7500 0.7500 0.7500
0.2500 0.2500 0.2500
0.5000 0.5000 0.5000
```

---

Record 3
InHgSb2: relaxed, PBE-GGA.

Values from the calculation:
uncorrected formation energy	131	meV per atom
SG	Cmm2, No. 35

Geometry as POSCAR:
```
InHgSb2
1.0
1.8718 -2.7142 0.0000
1.8718 2.7142 0.0000
0.0000 0.0000 10.8386
In Hg Sb
1 1 2
Direct
0.0000 0.0000 0.0000
0.5000 0.5000 0.2502
0.0000 0.0000 0.5042
0.5000 0.5000 0.7419
```

---

Record 4
Ac3Ni3Sb4: relaxed, PBE-GGA.

Values from the calculation:
uncorrected formation energy	-746	meV per atom
SG	I-43d, No. 220

Geometry as POSCAR:
```
Ac3Ni3Sb4
1.0
-5.0150 5.0150 5.0150
5.0150 -5.0150 5.0150
5.0150 5.0150 -5.0150
Ac Ni Sb
6 6 8
Direct
0.1250 0.7500 0.8750
0.2500 0.6250 0.3750
0.3750 0.2500 0.6250
0.6250 0.3750 0.2500
0.7500 0.8750 0.1250
0.8750 0.1250 0.7500
0.1250 0.8750 0.2500
0.2500 0.1250 0.8750
0.3750 0.6250 0.7500
0.6250 0.7500 0.3750
0.7500 0.3750 0.6250
0.8750 0.2500 0.1250
0.0000 0.3483 0.5000
0.0000 0.8483 0.5000
0.1517 0.1517 0.1517
0.3483 0.5000 0.0000
0.5000 0.0000 0.3483
0.5000 0.0000 0.8483
0.6517 0.6517 0.6517
0.8483 0.5000 0.0000
```

---

Record 5
KRePt3: relaxed, PBE-GGA.

Values from the calculation:
DFT formation energy	0.67	eV/atom
SG	Pm-3m, No. 221

Geometry as POSCAR:
```
KRePt3
1.0
4.9262 0.0000 0.0000
0.0000 4.9262 0.0000
0.0000 0.0000 4.9262
K Re Pt
1 1 3
Direct
0.0000 0.0000 0.0000
0.5000 0.5000 0.5000
0.0000 0.5000 0.5000
0.5000 0.0000 0.5000
0.5000 0.5000 0.0000
```

---

Record 6
InReAu3: relaxed, PBE-GGA.

Values from the calculation:
DFT formation energy	0.99	eV/atom
SG	Pm-3m, No. 221

Geometry as POSCAR:
```
InReAu3
1.0
5.0993 0.0000 0.0000
0.0000 5.0993 0.0000
0.0000 0.0000 5.0993
In Re Au
1 1 3
Direct
0.0000 0.0000 0.0000
0.5000 0.5000 0.5000
0.0000 0.5000 0.5000
0.5000 0.0000 0.5000
0.5000 0.5000 0.0000
```

---

Record 7
Y3ErSi2C: relaxed, PBE-GGA.

Values from the calculation:
uncorrected formation energy	-571	meV per atom
SG	Immm, No. 71

Geometry as POSCAR:
```
Y3ErSi2C
1.0
-2.3221 2.3354 7.5532
2.3221 -2.3354 7.5532
2.3221 2.3354 -7.5532
Y Er Si C
3 1 2 1
Direct
0.0000 0.0000 0.0000
0.3312 0.8312 0.5000
0.6688 0.1688 0.5000
0.5000 0.5000 0.0000
0.1357 0.6357 0.5000
0.8643 0.3643 0.5000
0.5000 0.0000 0.5000
```

---

Record 8
TmAlAu: relaxed, PBE-GGA.

Values from the calculation:
DFT formation energy	-0.75	eV/atom
SG	P4/nmm, No. 129

Geometry as POSCAR:
```
TmAlAu
1.0
4.1728 0.0000 0.0000
0.0000 4.1728 0.0000
0.0000 0.0000 7.1705
Tm Al Au
2 2 2
Direct
0.2500 0.2500 0.1573
0.7500 0.7500 0.8427
0.2500 0.7500 0.5000
0.7500 0.2500 0.5000
0.2500 0.2500 0.7437
0.7500 0.7500 0.2563
```

---

Record 9
CdCuTc2: relaxed, PBE-GGA.

Values from the calculation:
DFT formation energy	0.49	eV/atom
SG	P4/mmm, No. 123

Geometry as POSCAR:
```
CdCuTc2
1.0
3.2260 0.0000 0.0000
0.0000 3.2260 0.0000
0.0000 0.0000 6.1312
Cd Cu Tc
1 1 2
Direct
0.0000 0.0000 0.0000
0.0000 0.0000 0.5000
0.5000 0.5000 0.3098
0.5000 0.5000 0.6902
```

---

Record 10
Sb2PbCl: relaxed, PBE-GGA.

Values from the calculation:
uncorrected formation energy	52	meV per atom
SG	P4/mmm, No. 123

Geometry as POSCAR:
```
Sb2PbCl
1.0
3.2953 0.0000 0.0000
0.0000 3.2953 0.0000
0.0000 0.0000 9.9608
Sb Pb Cl
2 1 1
Direct
0.0000 0.0000 0.2329
0.0000 0.0000 0.7671
0.5000 0.5000 0.5000
0.5000 0.5000 0.0000
```

---

Record 11
CaTe2Br: relaxed, PBE-GGA.

Values from the calculation:
uncorrected formation energy	158	meV per atom
SG	R-3m, No. 166

Geometry as POSCAR:
```
CaTe2Br
1.0
1.8119 1.0461 11.2606
-1.8119 1.0461 11.2606
0.0000 -2.0922 11.2606
Ca Te Br
1 2 1
Direct
0.0000 0.0000 0.0000
0.0902 0.0902 0.0902
0.9098 0.9098 0.9098
0.5000 0.5000 0.5000
```

---

Record 12
SnHg2Br8: relaxed, PBE-GGA.

Values from the calculation:
uncorrected formation energy	-475	meV per atom
SG	C2/m, No. 12

Geometry as POSCAR:
```
SnHg2Br8
1.0
7.5301 -4.1659 0.0000
7.5301 4.1659 0.0000
-0.6440 0.0000 6.8929
Sn Hg Br
1 2 8
Direct
0.0000 0.0000 0.0000
0.1854 0.1854 0.6647
0.8146 0.8146 0.3353
0.1504 0.1504 0.2227
0.1553 0.7050 0.2222
0.2950 0.8447 0.7778
0.3473 0.3473 0.6230
0.6527 0.6527 0.3770
0.7050 0.1553 0.2222
0.8447 0.2950 0.7778
0.8496 0.8496 0.7773
```

---

It is found that the E values, taken in the order of the records, are -3.714, -5.628, -2.690, -5.362, -5.661, -4.014, -6.861, -4.576, -5.949, -3.398, -2.331, -2.111 eV/atom.